Run P
The following is a PBE calculation of a relaxed structure of AlSbTe2Os, from Alexandria.

a = 5.105 Å, b = 5.105 Å, c = 5.032 Å
α = 90.00°, β = 90.00°, γ = 90.00°
Each line ends with the local moment (μB).
Positions (direct):
Os1 0.500 0.500 0.500  0.48
Te1 0.500 0.000 0.000  -0.03
Te2 0.000 0.500 0.000  -0.03
Al1 0.000 0.000 0.000  0.00
Sb1 0.000 0.000 0.500  -0.03

Space-group type: No. 123



Run Q
The following is a PBE calculation of a relaxed structure of AlSbTe2Os, from Alexandria.

a = 5.420 Å, b = 5.420 Å, c = 5.001 Å
α = 90.00°, β = 90.00°, γ = 90.00°
Positions (direct):
Sb1 0.000 0.000 0.500
Al1 0.500 0.500 0.500
Os1 0.000 0.000 0.000
Te1 0.500 0.000 0.000
Te2 0.000 0.500 0.000

Space-group type: No. 123



Which of them is most stable? Easy: run Q.



Run P
The following is a PBE calculation of a relaxed structure of Sc3AlOs, from Alexandria.

a = 6.615 Å, b = 6.615 Å, c = 6.615 Å
α = 90.00°, β = 90.00°, γ = 90.00°
Positions (direct):
Sc1 0.233 0.767 0.233
Sc2 0.233 0.233 0.767
Sc3 0.767 0.767 0.233
Sc4 0.233 0.767 0.767
Sc5 0.767 0.233 0.233
Sc6 0.233 0.233 0.233
Sc7 0.767 0.233 0.767
Sc8 0.500 0.500 0.500
Sc9 0.767 0.767 0.767
Os1 0.000 0.500 0.000
Os2 0.500 0.000 0.000
Os3 0.000 0.000 0.500
Al1 0.000 0.500 0.500
Al2 0.500 0.500 0.000
Al3 0.500 0.000 0.500

Space-group type: No. 221



Run Q
The following is a PBE calculation of a relaxed structure of Sc3AlOs, from Alexandria.

a = 4.996 Å, b = 4.996 Å, c = 4.996 Å
α = 90.00°, β = 90.00°, γ = 90.00°
Positions (direct):
Os1 0.000 0.000 0.000
Al1 0.500 0.500 0.500
Sc1 0.000 0.500 0.000
Sc2 0.500 0.000 0.000
Sc3 0.000 0.000 0.500

Space-group type: No. 221



Run R
The following is a PBE calculation of a relaxed structure of Sc3AlOs, from Alexandria.

a = 4.903 Å, b = 4.903 Å, c = 4.903 Å
α = 90.00°, β = 90.00°, γ = 90.00°
Positions (direct):
Sc1 0.000 0.000 0.500
Sc2 0.500 0.000 0.000
Sc3 0.000 0.500 0.000
Al1 0.000 0.000 0.000
Os1 0.500 0.500 0.500

Space-group type: No. 221



Which of them is most stable? Easy: run P.



Run P
The following is a PBE calculation of a relaxed structure of ScAl3Os, from Alexandria.

a = 6.265 Å, b = 6.265 Å, c = 6.265 Å
α = 90.00°, β = 90.00°, γ = 90.00°
Positions (direct):
Al1 0.783 0.217 0.217
Al2 0.500 0.500 0.500
Al3 0.783 0.217 0.783
Al4 0.217 0.783 0.783
Al5 0.783 0.783 0.217
Al6 0.217 0.217 0.783
Al7 0.217 0.783 0.217
Al8 0.217 0.217 0.217
Al9 0.783 0.783 0.783
Os1 0.000 0.500 0.000
Os2 0.500 0.000 0.000
Os3 0.000 0.000 0.500
Sc1 0.000 0.500 0.500
Sc2 0.500 0.500 0.000
Sc3 0.500 0.000 0.500

Space-group type: No. 221



Run Q
The following is a PBE calculation of a relaxed structure of ScAl3Os, from Alexandria.

a = 4.805 Å, b = 4.805 Å, c = 4.805 Å
α = 90.00°, β = 90.00°, γ = 90.00°
Positions (direct):
Os1 0.500 0.500 0.500
Al1 0.000 0.500 0.000
Al2 0.500 0.000 0.000
Al3 0.000 0.000 0.500
Sc1 0.000 0.000 0.000

Space-group type: No. 221



Run R
The following is a PBE calculation of a relaxed structure of ScAl3Os, from Alexandria.

a = 4.683 Å, b = 4.683 Å, c = 4.683 Å
α = 90.00°, β = 90.00°, γ = 90.00°
Positions (direct):
Al1 0.500 0.000 0.000
Al2 0.000 0.000 0.500
Al3 0.000 0.500 0.000
Sc1 0.500 0.500 0.500
Os1 0.000 0.000 0.000

Space-group type: No. 221



Which of them is most stable? Easy: run P.



Run P
The following is a PBE calculation of a relaxed structure of Sc4AlOs, from Alexandria.

a = 8.908 Å, b = 8.908 Å, c = 8.908 Å
α = 60.00°, β = 60.00°, γ = 60.00°
Positions (direct):
Al1 0.169 0.169 0.169
Al2 0.493 0.169 0.169
Al3 0.169 0.169 0.493
Al4 0.169 0.493 0.169
Os1 0.604 0.604 0.188
Os2 0.604 0.188 0.604
Os3 0.188 0.604 0.604
Os4 0.604 0.604 0.604
Sc1 0.807 0.807 0.193
Sc2 0.557 0.557 0.943
Sc3 0.391 0.391 0.826
Sc4 0.557 0.943 0.943
Sc5 0.193 0.807 0.193
Sc6 0.807 0.193 0.807
Sc7 0.943 0.557 0.943
Sc8 0.557 0.943 0.557
Sc9 0.193 0.193 0.807
Sc10 0.391 0.826 0.391
Sc11 0.193 0.807 0.807
Sc12 0.943 0.943 0.557
Sc13 0.807 0.193 0.193
Sc14 0.943 0.557 0.557
Sc15 0.826 0.391 0.391
Sc16 0.391 0.391 0.391

Space-group type: No. 216



Run Q
The following is a PBE calculation of a relaxed structure of Sc4AlOs, from Alexandria.

a = 5.476 Å, b = 5.476 Å, c = 5.476 Å
α = 60.00°, β = 60.00°, γ = 60.00°
Positions (direct):
Sc1 0.373 0.881 0.373
Sc2 0.373 0.373 0.373
Sc3 0.373 0.373 0.881
Sc4 0.881 0.373 0.373
Al1 0.750 0.750 0.750
Os1 0.000 0.000 0.000

Space-group type: No. 216



Run R
The following is a PBE calculation of a relaxed structure of Sc4AlOs, from Alexandria.

a = 4.636 Å, b = 4.641 Å, c = 8.010 Å
α = 73.16°, β = 73.18°, γ = 60.04°
Positions (direct):
Sc1 0.367 0.367 0.898
Sc2 0.633 0.633 0.102
Sc3 0.116 0.115 0.652
Sc4 0.884 0.885 0.348
Al1 0.500 0.500 0.500
Os1 0.000 0.000 0.000

Space-group type: No. 166



Which of them is most stable? Easy: run P.



Run P
The following is a PBE calculation of a relaxed structure of AlOs2Se, from Alexandria.

a = 5.684 Å, b = 5.684 Å, c = 6.588 Å
α = 64.44°, β = 64.44°, γ = 90.00°
Positions (direct):
Se1 0.000 0.000 0.000
Se2 0.750 0.250 0.500
Os1 0.875 0.889 0.750
Os2 0.111 0.625 0.250
Os3 0.639 0.125 0.250
Os4 0.375 0.361 0.750
Al1 0.250 0.750 0.500
Al2 0.500 0.500 0.000

Space-group type: No. 122



Run Q
The following is a PBE calculation of a relaxed structure of AlOs2Se, from Alexandria.

a = 8.339 Å, b = 8.339 Å, c = 8.339 Å
α = 20.07°, β = 20.07°, γ = 20.07°
Positions (direct):
Os1 0.000 0.000 0.000
Os2 0.500 0.500 0.500
Al1 0.750 0.750 0.750
Se1 0.250 0.250 0.250

Space-group type: No. 166



Which of them is most stable? Easy: run Q.



Run P
The following is a PBE calculation of a relaxed structure of AlOs2Se, from Alexandria.

a = 2.793 Å, b = 2.793 Å, c = 9.778 Å
α = 90.00°, β = 90.00°, γ = 119.74°
Positions (direct):
Os1 0.000 0.000 0.009
Os2 0.500 0.500 0.240
Al1 0.500 0.500 0.785
Se1 0.000 0.000 0.465

Space-group type: No. 35



Run Q
The following is a PBE calculation of a relaxed structure of AlOs2Se, from Alexandria.

a = 4.346 Å, b = 4.346 Å, c = 4.346 Å
α = 60.00°, β = 60.00°, γ = 60.00°
Positions (direct):
Os1 0.250 0.250 0.250
Os2 0.750 0.750 0.750
Se1 0.500 0.500 0.500
Al1 0.000 0.000 0.000

Space-group type: No. 225



Which of them is most stable? Easy: run Q.



Run P
The following is a PBE calculation of a relaxed structure of AlOs2Se, from Alexandria.

a = 2.854 Å, b = 3.959 Å, c = 5.394 Å
α = 90.00°, β = 90.00°, γ = 90.00°
Positions (direct):
Os1 0.500 0.500 0.270
Os2 0.000 0.000 0.995
Al1 0.500 0.500 0.785
Se1 0.000 0.000 0.450

Space-group type: No. 25



Run Q
The following is a PBE calculation of a relaxed structure of AlOs2Se, from Alexandria.

a = 8.216 Å, b = 8.216 Å, c = 8.216 Å
α = 20.83°, β = 20.83°, γ = 20.83°
Positions (direct):
Se1 0.501 0.501 0.501
Al1 0.748 0.748 0.748
Os1 0.250 0.250 0.250
Os2 0.002 0.002 0.002

Space-group type: No. 160



Which of them is most stable? Easy: run P.



Run P
The following is a PBE calculation of a relaxed structure of AlOsSe, from Alexandria.

a = 3.121 Å, b = 3.121 Å, c = 5.772 Å
α = 90.00°, β = 90.00°, γ = 120.00°
Positions (direct):
Se1 0.333 0.667 0.653
Al1 0.000 0.000 0.016
Os1 0.667 0.333 0.331

Space-group type: No. 156



Run Q
The following is a PBE calculation of a relaxed structure of AlOsSe, from Alexandria.

a = 4.774 Å, b = 4.774 Å, c = 4.774 Å
α = 142.09°, β = 134.25°, γ = 60.87°
Positions (direct):
Se1 0.660 0.660 0.000
Al1 0.987 0.987 0.000
Os1 0.353 0.353 0.000

Space-group type: No. 44



Run R
The following is a PBE calculation of a relaxed structure of AlOsSe, from Alexandria.

a = 4.298 Å, b = 4.298 Å, c = 2.971 Å
α = 90.00°, β = 90.00°, γ = 120.00°
Positions (direct):
Al1 0.000 0.000 0.000
Se1 0.667 0.333 0.500
Os1 0.333 0.667 0.500

Space-group type: No. 187



Run S
The following is a PBE calculation of a relaxed structure of AlOsSe, from Alexandria.

a = 4.228 Å, b = 4.228 Å, c = 4.228 Å
α = 60.00°, β = 60.00°, γ = 60.00°
Each line ends with the local moment (μB).
Positions (direct):
Os1 0.000 0.000 0.000  0.09
Se1 0.500 0.500 0.500  0.01
Al1 0.250 0.250 0.250  0.00

Space-group type: No. 216



Which of them is most stable? Easy: run P.